VASP calculation (PBE-GGA) on Cs2InF5 after structural relaxation.

POSCAR file:
```
Cs2InF5
1.0
-0.5983 -6.7555 1.4874
-0.1238 -1.4829 -6.7819
4.6606 3.7453 2.6556
F Cs In
5 2 1
direct
0.2309 0.2309 0.0503
0.8191 0.2306 0.0498
0.2306 0.8191 0.0497
0.7372 0.7372 0.4743
0.8190 0.8190 0.0492
0.7345 0.2341 0.4687
0.2341 0.7346 0.4687
0.9717 0.9717 0.9434
```

Properties
Formation energy without anion corrections: -21.1 eV/f.u.
Mass density: 3.796 g/cm³
Energy: -4.357 eV/atom